HfMn2F8: relaxed, GGA+U. Values from VASP.

Summary:
The space group is No. 12. Its relative energy among the computed polymorphs is 0.0000 eV per atom.

Quantum ESPRESSO input file:
```
&SYSTEM
  ibrav = 0, nat = 11, ntyp = 3
/
ATOMIC_SPECIES
Hf 178.49 Hf.upf
F 19.00 F.upf
Mn 54.94 Mn.upf
CELL_PARAMETERS angstrom
-4.1397 0.8350 -1.3164
-1.6275 -5.0252 3.0425
-1.1510 1.6240 5.7616
ATOMIC_POSITIONS crystal
Hf 0.0000 0.0000 0.0000
F 0.2399 0.4050 0.4050
F 0.2427 0.8938 0.2992
F 0.2484 0.8363 0.8363
Mn 0.2732 0.6243 0.6243
F 0.7516 0.1637 0.1637
F 0.7573 0.7008 0.1062
F 0.7573 0.1062 0.7008
Mn 0.7268 0.3757 0.3757
F 0.7601 0.5950 0.5950
F 0.2427 0.2992 0.8938
```